Record 1
First-principles (GGA-PBE) data for Pr3NdHo2Te2Pt after structural relaxation, as listed in OQMD.

Values from the calculation:
E_tot = -49.136 eV per cell
Crystal system = orthorhombic

a b c (Å): 4.079 8.619 8.619
angles (deg): 120.64 90.00 90.00
Element x y z (fractional)
Pr 0.500 0.409 0.002
Pr 0.500 0.002 0.409
Pr 0.500 0.594 0.594
Te 0.000 0.672 0.334
Te 0.000 0.334 0.672
Ho 0.000 0.761 0.001
Ho 0.000 0.001 0.761
Nd 0.000 0.244 0.244
Pt 0.500 0.983 0.983

Record 2
First-principles (GGA-PBE) data for Nd3HoPt4 after structural relaxation, as listed in OQMD.

Values from the calculation:
Energy of formation from the pure elements = -9.45 eV/f.u.
E_tot = -52.539 eV per cell
Crystal system = monoclinic

a b c (Å): 5.674 4.591 7.256
angles (deg): 90.00 90.60 90.00
Element x y z (fractional)
Pt 0.656 0.000 0.452
Pt 0.851 0.000 0.962
Pt 0.152 0.500 0.056
Pt 0.339 0.500 0.532
Nd 0.861 0.500 0.680
Nd 0.360 0.000 0.817
Nd 0.641 0.500 0.184
Ho 0.140 0.000 0.317

Record 3
First-principles (GGA-PBE) data for Nd2HoSn3Pt3 after structural relaxation, as listed in OQMD.

Values from the calculation:
E_tot = -53.864 eV per cell
Crystal system = orthorhombic

a b c (Å): 4.098 7.581 7.581
angles (deg): 119.76 90.00 90.00
Element x y z (fractional)
Sn 0.500 0.744 0.998
Sn 0.500 0.998 0.744
Sn 0.500 0.255 0.255
Ho 0.000 0.594 0.594
Nd 0.000 0.409 0.001
Nd 0.000 0.001 0.409
Pt 0.500 0.341 0.664
Pt 0.000 0.994 0.994
Pt 0.500 0.664 0.341

Record 4
First-principles (GGA-PBE) data for Nd3Ho3Te2Pt after structural relaxation, as listed in OQMD.

Values from the calculation:
E_tot = -48.994 eV per cell
Crystal system = hexagonal
E above lowest polymorph = 0 meV/atom

a b c (Å): 8.499 8.499 4.067
angles (deg): 90.00 90.00 120.00
Element x y z (fractional)
Te 0.333 0.667 0.500
Te 0.667 0.333 0.500
Ho 0.760 0.000 0.500
Ho 0.000 0.760 0.500
Ho 0.240 0.240 0.500
Pt 0.000 0.000 0.000
Nd 0.406 0.000 0.000
Nd 0.594 0.594 0.000
Nd 0.000 0.406 0.000

Record 5
First-principles (GGA-PBE) data for Nd3Ho3Te2Pt after structural relaxation, as listed in OQMD.

Values from the calculation:
E_tot = -47.835 eV per cell
Crystal system = hexagonal
E above lowest polymorph = 129 meV/atom

a b c (Å): 8.627 8.627 3.950
angles (deg): 90.00 90.00 120.00
Element x y z (fractional)
Te 0.333 0.667 0.500
Te 0.667 0.333 0.500
Ho 0.595 0.595 0.000
Ho 0.405 0.000 0.000
Ho 0.000 0.405 0.000
Nd 0.000 0.749 0.500
Nd 0.749 0.000 0.500
Nd 0.251 0.251 0.500
Pt 0.000 0.000 0.000

Record 6
First-principles (GGA-PBE) data for NdHoTl2Pt4 after structural relaxation, as listed in OQMD.

Values from the calculation:
E_tot = -44.108 eV per cell
Crystal system = hexagonal

a b c (Å): 4.660 4.660 9.087
angles (deg): 90.00 90.00 120.00
Element x y z (fractional)
Nd 0.667 0.333 0.500
Pt 0.667 0.333 0.848
Pt 0.667 0.333 0.152
Pt 0.000 0.000 0.341
Pt 0.000 0.000 0.659
Tl 0.333 0.667 0.246
Tl 0.333 0.667 0.754
Ho 0.000 0.000 0.000

Record 7
First-principles (GGA-PBE) data for NdHoPu after structural relaxation, as listed in OQMD.

Values from the calculation:
Energy of formation from the pure elements = 2.41 eV/f.u.
E_tot = -21.054 eV per cell
Crystal system = cubic
E above lowest polymorph = 0 meV/atom

a b c (Å): 5.188 5.188 5.188
angles (deg): 60.00 60.00 60.00
Element x y z (fractional)
Ho 0.250 0.250 0.250
Pu 0.000 0.000 0.000
Nd 0.750 0.750 0.750

Record 8
First-principles (GGA-PBE) data for RbNdHo after structural relaxation, as listed in OQMD.

Values from the calculation:
E_tot = -6.611 eV per cell
Crystal system = cubic

a b c (Å): 6.037 6.037 6.037
angles (deg): 60.00 60.00 60.00
Element x y z (fractional)
Nd 0.000 0.000 0.000
Rb 0.750 0.750 0.750
Ho 0.250 0.250 0.250

Record 9
First-principles (GGA-PBE) data for NdHoSb after structural relaxation, as listed in OQMD.

Values from the calculation:
E_tot = -15.168 eV per cell
Crystal system = cubic

a b c (Å): 5.145 5.145 5.145
angles (deg): 60.00 60.00 60.00
Element x y z (fractional)
Sb 0.000 0.000 0.000
Ho 0.250 0.250 0.250
Nd 0.750 0.750 0.750

Record 10
First-principles (GGA-PBE) data for NdHo2Se3 after structural relaxation, as listed in OQMD.

Values from the calculation:
E_tot = -34.957 eV per cell
Crystal system = trigonal

a b c (Å): 4.085 4.085 10.158
angles (deg): 90.00 90.00 120.00
Element x y z (fractional)
Ho 0.333 0.667 0.163
Ho 0.667 0.333 0.837
Se 0.000 0.000 0.000
Se 0.667 0.333 0.320
Se 0.333 0.667 0.680
Nd 0.000 0.000 0.500

Record 11
First-principles (GGA-PBE) data for Nd2HoSe3 after structural relaxation, as listed in OQMD.

Values from the calculation:
E_tot = -35.375 eV per cell
Crystal system = trigonal

a b c (Å): 4.143 4.143 10.305
angles (deg): 90.00 90.00 120.00
Element x y z (fractional)
Se 0.333 0.667 0.154
Se 0.000 0.000 0.500
Se 0.667 0.333 0.846
Nd 0.667 0.333 0.330
Nd 0.333 0.667 0.670
Ho 0.000 0.000 0.000

Record 12
First-principles (GGA-PBE) data for Nd3HoSi4 after structural relaxation, as listed in OQMD.

Values from the calculation:
E_tot = -46.742 eV per cell
Crystal system = monoclinic

a b c (Å): 5.865 3.911 8.165
angles (deg): 90.00 90.39 90.00
Element x y z (fractional)
Nd 0.886 0.000 0.320
Nd 0.115 0.500 0.680
Nd 0.387 0.500 0.178
Si 0.379 0.000 0.467
Si 0.872 0.500 0.031
Si 0.122 0.000 0.961
Si 0.624 0.500 0.542
Ho 0.615 0.000 0.820

Record 13
First-principles (GGA-PBE) data for NdHo3Si4 after structural relaxation, as listed in OQMD.

Values from the calculation:
E_tot = -46.621 eV per cell
Crystal system = monoclinic

a b c (Å): 5.736 3.850 7.970
angles (deg): 90.00 90.17 90.00
Element x y z (fractional)
Si 0.128 0.000 0.034
Si 0.875 0.500 0.956
Si 0.629 0.500 0.469
Si 0.370 0.000 0.541
Ho 0.384 0.500 0.819
Ho 0.886 0.000 0.679
Ho 0.114 0.500 0.322
Nd 0.614 0.000 0.179

Record 14
First-principles (GGA-PBE) data for Nd2Ho2Si3 after structural relaxation, as listed in OQMD.

Values from the calculation:
E_tot = -77.680 eV per cell
Crystal system = orthorhombic

a b c (Å): 10.782 10.782 6.944
angles (deg): 90.00 90.00 155.03
Element x y z (fractional)
Nd 0.546 0.454 0.250
Nd 0.623 0.377 0.750
Nd 0.454 0.546 0.750
Nd 0.377 0.623 0.250
Si 0.948 0.052 0.073
Si 0.052 0.948 0.573
Si 0.307 0.693 0.750
Si 0.948 0.052 0.427
Si 0.693 0.307 0.250
Si 0.052 0.948 0.927
Ho 0.811 0.189 0.983
Ho 0.189 0.811 0.017
Ho 0.811 0.189 0.517
Ho 0.189 0.811 0.483

Record 15
First-principles (GGA-PBE) data for NdHoZn2Sn2 after structural relaxation, as listed in OQMD.

Values from the calculation:
E_tot = -47.157 eV per cell
Crystal system = hexagonal
E above lowest polymorph = 0 meV/atom

a b c (Å): 4.529 4.529 16.127
angles (deg): 90.00 90.00 120.00
Element x y z (fractional)
Zn 0.333 0.667 0.338
Zn 0.667 0.333 0.662
Zn 0.667 0.333 0.838
Zn 0.333 0.667 0.162
Sn 0.667 0.333 0.118
Sn 0.667 0.333 0.382
Sn 0.333 0.667 0.882
Sn 0.333 0.667 0.618
Nd 0.000 0.000 0.500
Nd 0.000 0.000 0.000
Ho 0.000 0.000 0.250
Ho 0.000 0.000 0.750

Record 16
First-principles (GGA-PBE) data for NdHoZn2Sn2 after structural relaxation, as listed in OQMD.

Values from the calculation:
E_tot = -46.896 eV per cell
Crystal system = hexagonal
E above lowest polymorph = 22 meV/atom

a b c (Å): 4.551 4.551 15.965
angles (deg): 90.00 90.00 120.00
Element x y z (fractional)
Nd 0.000 0.000 0.750
Nd 0.000 0.000 0.250
Zn 0.333 0.667 0.155
Zn 0.333 0.667 0.345
Zn 0.667 0.333 0.655
Zn 0.667 0.333 0.845
Sn 0.333 0.667 0.610
Sn 0.667 0.333 0.390
Sn 0.333 0.667 0.890
Sn 0.667 0.333 0.110
Ho 0.000 0.000 0.000
Ho 0.000 0.000 0.500

Record 17
First-principles (GGA-PBE) data for SrNdHo after structural relaxation, as listed in OQMD.

Values from the calculation:
E_tot = -8.691 eV per cell
Crystal system = cubic

a b c (Å): 5.779 5.779 5.779
angles (deg): 60.00 60.00 60.00
Element x y z (fractional)
Sr 0.750 0.750 0.750
Ho 0.000 0.000 0.000
Nd 0.250 0.250 0.250

Record 18
First-principles (GGA-PBE) data for NdHoTa after structural relaxation, as listed in OQMD.

Values from the calculation:
Energy of formation from the pure elements = 1.31 eV/f.u.
E_tot = -59.652 eV per cell
Crystal system = hexagonal
E above lowest polymorph = 0 meV/atom

a b c (Å): 5.261 5.261 10.055
angles (deg): 90.00 90.00 120.00
Element x y z (fractional)
Nd 0.333 0.667 0.500
Nd 0.333 0.667 0.166
Nd 0.333 0.667 0.834
Ho 0.000 0.000 0.676
Ho 0.667 0.333 0.000
Ho 0.000 0.000 0.324
Ta 0.667 0.333 0.640
Ta 0.667 0.333 0.360
Ta 0.000 0.000 0.000

Record 19
First-principles (GGA-PBE) data for NdHoTa after structural relaxation, as listed in OQMD.

Values from the calculation:
Energy of formation from the pure elements = 3.86 eV/f.u.
E_tot = -17.333 eV per cell
Crystal system = cubic
E above lowest polymorph = 850 meV/atom

a b c (Å): 5.049 5.049 5.049
angles (deg): 60.00 60.00 60.00
Element x y z (fractional)
Nd 0.250 0.250 0.250
Ho 0.000 0.000 0.000
Ta 0.750 0.750 0.750

Record 20
First-principles (GGA-PBE) data for TbNdHo after structural relaxation, as listed in OQMD.

Values from the calculation:
Energy of formation from the pure elements = 2.12 eV/f.u.
E_tot = -11.844 eV per cell
Crystal system = cubic

a b c (Å): 5.463 5.463 5.463
angles (deg): 60.00 60.00 60.00
Element x y z (fractional)
Ho 0.000 0.000 0.000
Nd 0.750 0.750 0.750
Tb 0.250 0.250 0.250